Here is an optimized crystal structure of Ca2Ge4Pd3Rh from Alexandria. Energies are from PBE.

Cell lengths 4.1972, 4.1972, 10.7048 Å; angles 90.00, 90.00, 90.00 degrees
With the nearest neighbours (Å) after each atom.
Atoms (fractional coordinates):
1 Ca 0.5000 0.0000 0.2473  6 Pd 3.19-3.42, 8 Ge 3.25-3.38, 2 Rh 3.42
2 Ca 0.0000 0.5000 0.7527  6 Pd 3.19-3.42, 8 Ge 3.25-3.38, 2 Rh 3.42
3 Ge 0.5000 0.5000 0.0000  4 Pd 2.57
4 Ge 0.0000 0.0000 0.0000  4 Pd 2.57
5 Ge 0.5000 0.0000 0.6289  3 Pd 2.48-2.51, 2 Rh 2.51
6 Ge 0.0000 0.5000 0.3711  3 Pd 2.48-2.51, 2 Rh 2.51
7 Pd 0.0000 0.0000 0.5000  4 Ge 2.51
8 Pd 0.5000 0.0000 0.8608  5 Ge 2.48-2.57
9 Pd 0.0000 0.5000 0.1392  5 Ge 2.48-2.57
10 Rh 0.5000 0.5000 0.5000  4 Ge 2.51

energy of formation = -0.70 eV/atom
ρ = 7.0 g cm⁻³
M_tot = 0.00 μB/f.u.
space-group type = P-4m2 (115)



Here is an optimized crystal structure of CaGe2PdRh from Alexandria. Energies are from PBE.

Cell lengths 4.1995, 4.1995, 6.0530 Å; angles 110.30, 110.30, 90.00 degrees
With the nearest neighbours (Å) after each atom.
Atoms (fractional coordinates):
1 Ca 0.0000 0.0000 0.0000  8 Ge 3.23, 4 Rh 3.37, 4 Pd 3.37
2 Ge 0.6216 0.6216 0.2432  2 Rh 2.50, 2 Pd 2.50, 1 Ge 2.57
3 Ge 0.3784 0.3784 0.7568  2 Rh 2.50, 2 Pd 2.50, 1 Ge 2.57
4 Pd 0.2500 0.7500 0.5000  4 Ge 2.50
5 Rh 0.7500 0.2500 0.5000  4 Ge 2.50

energy of formation = -0.73 eV/atom
ρ = 7.0 g cm⁻³
M_tot = 0.00 μB/f.u.
space-group type = I-4m2 (119)



Q: The lowest energy of formation belongs to which entry?
A: CaGe2PdRh